Record 1
Density functional theory data (GGA-PBE) for crystalline Sr5CaAc at its relaxed geometry.

Results
Total energy in eV per atom: -1.9178

The structure in POSCAR format:
```
Sr5CaAc
1.0
7.376 -2.513 2.097
-2.097 7.822 -0.596
-0.037 -1.256 14.148
Sr Ca Ac
10 2 2
direct
0.627 0.250 0.746
0.774 0.001 0.445
0.225 0.269 0.059
0.284 0.769 0.941
0.716 0.231 0.059
0.781 0.499 0.445
0.373 0.750 0.254
0.775 0.731 0.941
0.219 0.501 0.555
0.226 0.999 0.555
0.351 0.250 0.299
0.649 0.750 0.701
0.901 0.750 0.197
0.099 0.250 0.803
```


Record 2
Density functional theory data (GGA-PBE) for crystalline Zr2CuPb2 at its relaxed geometry.

Results
Offset from the most stable computed form in meV per atom: 459.8

The structure in POSCAR format:
```
Zr2CuPb2
1.0
4.225 0.000 0.000
0.000 4.225 0.000
2.112 2.112 7.138
Zr Pb Cu
2 2 1
direct
0.410 0.410 0.181
0.590 0.590 0.819
0.750 0.250 0.500
0.250 0.750 0.500
0.000 0.000 0.000
```


Record 3
Density functional theory data (GGA-PBE) for crystalline CdPd2Se at its relaxed geometry.

Results
E_form (uncorrected) in meV per atom: -139

The structure in POSCAR format:
```
CdPd2Se
1.0
-0.234 1.477 4.236
-3.905 -0.143 2.216
-0.461 -3.350 3.525
Pd Se Cd
2 1 1
direct
0.226 0.226 0.321
0.774 0.774 0.679
0.500 0.500 0.500
0.000 0.000 0.000
```


Record 4
Density functional theory data (GGA-PBE) for crystalline Ac3Nb2N6 at its relaxed geometry.

Results
E_form (uncorrected) in meV per atom: -1228

The structure in POSCAR format:
```
Ac3Nb2N6
1.0
4.161 0.000 0.000
0.000 4.161 0.000
-2.080 -2.080 10.485
N Ac Nb
6 3 2
direct
0.305 0.305 0.609
0.586 0.086 0.171
0.414 0.914 0.829
0.695 0.695 0.391
0.086 0.586 0.171
0.914 0.414 0.829
0.820 0.820 0.640
0.180 0.180 0.360
0.000 0.000 0.000
0.398 0.398 0.797
0.602 0.602 0.203
```


Record 5
Density functional theory data (GGA-PBE) for crystalline SrHgSb at its relaxed geometry.

Results
Offset from the most stable computed form in meV per atom: 134.8
E_form (uncorrected) in meV per atom: -517

The structure in POSCAR format:
```
SrHgSb
1.0
5.219 0.000 0.000
2.610 4.520 0.000
2.610 1.507 4.261
Sb Sr Hg
1 1 1
direct
0.000 0.000 0.000
0.500 0.500 0.500
0.750 0.750 0.750
```


Record 6
Density functional theory data (GGA-PBE) for crystalline Sr2MnZn2Pd5 at its relaxed geometry.

Results
Total energy in eV per atom: -4.5483

The structure in POSCAR format:
```
Sr2MnZn2Pd5
1.0
3.631 0.000 0.000
0.000 10.215 0.000
0.000 0.000 10.215
Pd Sr Zn Mn
10 4 4 2
direct
0.500 0.800 0.940
0.500 0.700 0.440
0.500 0.000 0.500
0.500 0.560 0.700
0.500 0.060 0.800
0.500 0.940 0.200
0.500 0.440 0.300
0.500 0.300 0.560
0.500 0.500 0.000
0.500 0.200 0.060
0.000 0.177 0.323
0.000 0.823 0.677
0.000 0.677 0.177
0.000 0.323 0.823
0.000 0.624 0.876
0.000 0.124 0.624
0.000 0.376 0.124
0.000 0.876 0.376
0.000 0.500 0.500
0.000 0.000 0.000
```


Number 1: N(E_F) 1.400 states/eV per atom. Number 2: N(E_F) 0.937 states/eV per atom. Number 3: N(E_F) 0.455 states/eV per atom. Number 4: N(E_F) 0.268 states/eV per atom. Number 5: N(E_F) 0.847 states/eV per atom. Number 6: N(E_F) 0.448 states/eV per atom.